<1>
A plane-wave DFT calculation with PBE-GGA was carried out for DyTlGa2 after structural relaxation.

a = 4.339 Å, b = 4.517 Å, c = 4.517 Å
α = 90.00°, β = 90.00°, γ = 90.00°
Element x y z (fractional)
Dy 0.500 0.000 0.000
Ga 0.000 0.000 0.500
Ga 0.000 0.500 0.000
Tl 0.500 0.500 0.500

Output
- Space group: P4/mmm (123)
- Calculated volume: 89 Å³/cell
- Total magnetization: 0.0 μB per formula unit



<2>
A plane-wave DFT calculation with PBE-GGA was carried out for DyTlGa2 after structural relaxation.

a = 4.934 Å, b = 4.934 Å, c = 7.078 Å
α = 69.60°, β = 69.60°, γ = 60.00°
Element x y z (fractional)
Tl 0.000 0.000 0.000
Ga 0.143 0.143 0.572
Ga 0.857 0.857 0.428
Dy 0.500 0.500 0.500

Output
- Space group: R-3m (166)
- Calculated volume: 137 Å³/cell
- Total magnetization: 0.0 μB per formula unit



Most favorable structure: <1>. The second most favorable one is 54.0 kJ/mol of atoms above it.



<1>
A plane-wave DFT calculation with PBE-GGA was carried out for Dy3Tl2Ga after structural relaxation.

a = 3.661 Å, b = 5.323 Å, c = 15.908 Å
α = 90.00°, β = 90.00°, γ = 90.00°
Element x y z (fractional)
Dy 0.501 0.000 0.500
Dy 0.501 0.500 0.344
Dy 0.499 0.000 0.156
Dy 0.501 0.500 0.656
Dy 0.499 0.000 0.844
Dy 0.499 0.500 0.000
Tl 0.000 0.000 0.672
Tl 0.000 0.000 0.328
Tl 0.000 0.500 0.828
Tl 0.000 0.500 0.172
Ga 0.000 0.000 0.000
Ga 0.000 0.500 0.500

Output
- Space group: Cmmm (65)
- Calculated volume: 310 Å³/cell
- Total magnetization: 0.0 μB per formula unit



<2>
A plane-wave DFT calculation with PBE-GGA was carried out for Dy3Tl2Ga after structural relaxation.

a = 3.654 Å, b = 3.654 Å, c = 11.599 Å
α = 90.00°, β = 90.00°, γ = 90.00°
Element x y z (fractional)
Tl 0.500 0.500 0.827
Tl 0.500 0.500 0.173
Dy 0.000 0.000 0.000
Dy 0.000 0.000 0.651
Dy 0.000 0.000 0.349
Ga 0.500 0.500 0.500

Output
- Space group: P4/mmm (123)
- Calculated volume: 155 Å³/cell
- Total magnetization: 0.0 μB per formula unit



Most favorable structure: <2>. The second most favorable one is 1.0 kJ/mol of atoms above it.



<1>
A plane-wave DFT calculation with PBE-GGA was carried out for DyTlGa after structural relaxation.

a = 3.307 Å, b = 3.307 Å, c = 8.221 Å
α = 101.60°, β = 101.60°, γ = 90.00°
Each line ends with the local moment (μB).
Element x y z (fractional)
Ga 0.134 0.134 0.268  0.00
Tl 0.958 0.958 0.916  0.00
Dy 0.758 0.758 0.517  -0.07

Output
- Space group: I4mm (107)
- Calculated volume: 86 Å³/cell
- Total magnetization: 0.1 μB per formula unit



<2>
A plane-wave DFT calculation with PBE-GGA was carried out for DyTlGa after structural relaxation.

a = 3.987 Å, b = 4.696 Å, c = 8.270 Å
α = 73.51°, β = 90.00°, γ = 90.00°
Element x y z (fractional)
Tl 0.750 0.725 0.550
Tl 0.250 0.275 0.450
Dy 0.750 0.087 0.826
Dy 0.250 0.913 0.174
Ga 0.250 0.557 0.887
Ga 0.750 0.443 0.113

Output
- Space group: Cmcm (63)
- Calculated volume: 148 Å³/cell
- Total magnetization: 0.0 μB per formula unit



<3>
A plane-wave DFT calculation with PBE-GGA was carried out for DyTlGa after structural relaxation.

a = 3.932 Å, b = 4.627 Å, c = 4.627 Å
α = 120.00°, β = 90.00°, γ = 90.00°
Element x y z (fractional)
Tl 0.268 0.333 0.667
Dy 0.687 0.667 0.333
Ga 0.045 0.000 0.000

Output
- Space group: P3m1 (156)
- Calculated volume: 73 Å³/cell
- Total magnetization: 0.0 μB per formula unit



Most favorable structure: <2>. The second most favorable one is 1.1 kJ/mol of atoms above it.



<1>
A plane-wave DFT calculation with PBE-GGA was carried out for Dy4Tl2Ga after structural relaxation.

a = 5.213 Å, b = 5.213 Å, c = 9.036 Å
α = 73.23°, β = 73.23°, γ = 60.00°
Element x y z (fractional)
Tl 0.755 0.755 0.734
Tl 0.245 0.245 0.266
Dy 0.878 0.878 0.367
Dy 0.122 0.122 0.633
Dy 0.374 0.374 0.877
Dy 0.626 0.626 0.123
Ga 0.000 0.000 0.000

Output
- Space group: R-3m (166)
- Calculated volume: 201 Å³/cell
- Total magnetization: 0.0 μB per formula unit



<2>
A plane-wave DFT calculation with PBE-GGA was carried out for Dy4Tl2Ga after structural relaxation.

a = 8.369 Å, b = 8.397 Å, c = 8.401 Å
α = 131.00°, β = 100.38°, γ = 99.62°
Element x y z (fractional)
Dy 0.934 0.702 0.233
Dy 0.340 0.086 0.743
Dy 0.341 0.598 0.256
Dy 0.910 0.152 0.244
Dy 0.463 0.698 0.764
Dy 0.909 0.664 0.756
Dy 0.316 0.048 0.267
Dy 0.787 0.052 0.736
Ga 0.131 0.128 0.003
Ga 0.119 0.622 0.497
Tl 0.625 0.375 0.750
Tl 0.625 0.375 0.250
Tl 0.125 0.375 0.750
Tl 0.625 0.875 0.250

Output
- Space group: P-1 (2)
- Calculated volume: 405 Å³/cell
- Total magnetization: 0.0 μB per formula unit



Most favorable structure: <1>. The second most favorable one is 4.3 kJ/mol of atoms above it.



<1>
A plane-wave DFT calculation with PBE-GGA was carried out for DyTmTlGa after structural relaxation.

a = 5.192 Å, b = 5.192 Å, c = 5.192 Å
α = 60.00°, β = 60.00°, γ = 60.00°
Element x y z (fractional)
Ga 0.250 0.250 0.250
Tl 0.750 0.750 0.750
Dy 0.000 0.000 0.000
Tm 0.500 0.500 0.500

Output
- Space group: F-43m (216)
- Calculated volume: 99 Å³/cell
- Total magnetization: 0.0 μB per formula unit



<2>
A plane-wave DFT calculation with PBE-GGA was carried out for DyTmTlGa after structural relaxation.

a = 3.551 Å, b = 3.551 Å, c = 7.821 Å
α = 90.00°, β = 90.00°, γ = 90.00°
Element x y z (fractional)
Tm 0.000 0.000 0.376
Ga 0.500 0.500 0.604
Tl 0.500 0.500 0.111
Dy 0.000 0.000 0.837

Output
- Space group: P4mm (99)
- Calculated volume: 99 Å³/cell
- Total magnetization: 0.0 μB per formula unit



Most favorable structure: <2>. The second most favorable one is 2.9 kJ/mol of atoms above it.



<1>
A plane-wave DFT calculation with PBE-GGA was carried out for DyTmGa after structural relaxation.

a = 3.440 Å, b = 3.440 Å, c = 6.923 Å
α = 104.39°, β = 104.39°, γ = 90.00°
Element x y z (fractional)
Dy 0.970 0.970 0.939
Tm 0.262 0.262 0.524
Ga 0.618 0.618 0.236

Output
- Space group: I4mm (107)
- Calculated volume: 77 Å³/cell
- Total magnetization: 0.0 μB per formula unit



<2>
A plane-wave DFT calculation with PBE-GGA was carried out for DyTmGa after structural relaxation.

a = 3.634 Å, b = 5.132 Å, c = 8.325 Å
α = 89.99°, β = 102.60°, γ = 90.00°
Element x y z (fractional)
Ga 0.508 0.526 0.703
Ga 0.352 0.025 0.390
Dy 0.007 0.026 0.702
Dy 0.853 0.525 0.391
Tm 0.706 0.025 0.099
Tm 0.154 0.525 0.994

Output
- Space group: P-1 (2)
- Calculated volume: 152 Å³/cell
- Total magnetization: 0.0 μB per formula unit



Most favorable structure: <2>. The second most favorable one is 1.3 kJ/mol of atoms above it.



<1>
A plane-wave DFT calculation with PBE-GGA was carried out for DyTmGa after structural relaxation.

a = 3.617 Å, b = 4.940 Å, c = 4.940 Å
α = 120.00°, β = 90.00°, γ = 90.00°
Element x y z (fractional)
Tm 0.413 0.333 0.667
Ga 0.641 0.667 0.333
Dy 0.947 0.000 0.000

Output
- Space group: P3m1 (156)
- Calculated volume: 76 Å³/cell
- Total magnetization: 0.0 μB per formula unit



<2>
A plane-wave DFT calculation with PBE-GGA was carried out for DyTmGa after structural relaxation.

a = 5.127 Å, b = 5.127 Å, c = 6.566 Å
α = 90.00°, β = 90.00°, γ = 119.97°
Element x y z (fractional)
Tm 0.333 0.167 0.250
Tm 0.667 0.833 0.750
Dy 0.000 0.500 0.500
Dy 0.000 0.500 0.000
Ga 0.333 0.167 0.750
Ga 0.667 0.833 0.250

Output
- Space group: P6_3/mmc (194)
- Calculated volume: 149 Å³/cell
- Total magnetization: 0.0 μB per formula unit



Most favorable structure: <2>. The second most favorable one is 11.4 kJ/mol of atoms above it.



<1>
A plane-wave DFT calculation with PBE-GGA was carried out for DyTm3Ga2 after structural relaxation.

a = 4.863 Å, b = 6.563 Å, c = 9.361 Å
α = 90.00°, β = 90.00°, γ = 90.00°
Element x y z (fractional)
Ga 0.500 0.212 0.137
Ga 0.000 0.787 0.362
Ga 0.500 0.712 0.863
Ga 0.000 0.287 0.638
Tm 0.500 0.669 0.180
Tm 0.500 0.169 0.820
Tm 0.000 0.331 0.315
Tm 0.000 0.963 0.051
Tm 0.000 0.831 0.685
Tm 0.000 0.463 0.949
Dy 0.500 0.538 0.549
Dy 0.500 0.038 0.451

Output
- Space group: Pmc2_1 (26)
- Calculated volume: 299 Å³/cell
- Total magnetization: 0.0 μB per formula unit



<2>
A plane-wave DFT calculation with PBE-GGA was carried out for DyTm3Ga2 after structural relaxation.

a = 5.018 Å, b = 8.982 Å, c = 8.769 Å
α = 124.50°, β = 90.00°, γ = 106.22°
Element x y z (fractional)
Ga 0.516 0.032 0.880
Ga 0.227 0.454 0.838
Ga 0.484 0.968 0.120
Ga 0.773 0.546 0.162
Tm 0.687 0.374 0.385
Tm 0.313 0.626 0.615
Tm 0.379 0.759 0.272
Tm 0.621 0.241 0.728
Tm 0.062 0.124 0.406
Tm 0.938 0.876 0.594
Dy 0.870 0.739 0.928
Dy 0.130 0.261 0.072

Output
- Space group: C2/m (12)
- Calculated volume: 306 Å³/cell
- Total magnetization: 0.0 μB per formula unit



Most favorable structure: <1>. The second most favorable one is 10.1 kJ/mol of atoms above it.



<1>
A plane-wave DFT calculation with PBE-GGA was carried out for Dy3TmGa2 after structural relaxation.

a = 4.943 Å, b = 6.524 Å, c = 9.425 Å
α = 90.00°, β = 90.00°, γ = 90.00°
Element x y z (fractional)
Dy 0.000 0.967 0.047
Dy 0.000 0.467 0.953
Dy 0.500 0.677 0.181
Dy 0.000 0.823 0.676
Dy 0.500 0.177 0.819
Dy 0.000 0.323 0.324
Ga 0.000 0.793 0.358
Ga 0.500 0.708 0.858
Ga 0.000 0.293 0.642
Ga 0.500 0.208 0.142
Tm 0.500 0.032 0.451
Tm 0.500 0.532 0.549

Output
- Space group: Pmc2_1 (26)
- Calculated volume: 304 Å³/cell
- Total magnetization: 0.0 μB per formula unit



<2>
A plane-wave DFT calculation with PBE-GGA was carried out for Dy3TmGa2 after structural relaxation.

a = 5.021 Å, b = 9.067 Å, c = 8.839 Å
α = 124.25°, β = 90.00°, γ = 106.07°
Element x y z (fractional)
Dy 0.313 0.625 0.621
Dy 0.687 0.375 0.379
Dy 0.377 0.754 0.266
Dy 0.061 0.121 0.404
Dy 0.939 0.879 0.596
Dy 0.623 0.246 0.734
Ga 0.228 0.456 0.841
Ga 0.517 0.033 0.882
Ga 0.772 0.544 0.159
Ga 0.483 0.967 0.118
Tm 0.129 0.258 0.067
Tm 0.871 0.742 0.933

Output
- Space group: C2/m (12)
- Calculated volume: 313 Å³/cell
- Total magnetization: 0.0 μB per formula unit



Most favorable structure: <1>. The second most favorable one is 11.0 kJ/mol of atoms above it.



<1>
A plane-wave DFT calculation with PBE-GGA was carried out for DyTm2Ga6 after structural relaxation.

a = 4.271 Å, b = 6.920 Å, c = 7.774 Å
α = 116.43°, β = 105.94°, γ = 90.00°
Element x y z (fractional)
Dy 0.000 0.500 0.000
Ga 0.500 0.189 0.000
Ga 0.314 0.120 0.628
Ga 0.314 0.508 0.628
Ga 0.686 0.880 0.372
Ga 0.500 0.811 0.000
Ga 0.686 0.492 0.372
Tm 0.876 0.876 0.751
Tm 0.124 0.124 0.249

Output
- Space group: Immm (71)
- Calculated volume: 196 Å³/cell
- Total magnetization: 0.0 μB per formula unit



<2>
A plane-wave DFT calculation with PBE-GGA was carried out for DyTm2Ga6 after structural relaxation.

a = 3.765 Å, b = 7.451 Å, c = 7.451 Å
α = 120.00°, β = 90.00°, γ = 90.00°
Element x y z (fractional)
Dy 0.000 0.000 0.000
Tm 0.000 0.667 0.333
Tm 0.000 0.333 0.667
Ga 0.500 0.666 0.000
Ga 0.500 0.334 0.000
Ga 0.500 0.000 0.334
Ga 0.500 0.666 0.666
Ga 0.500 0.000 0.666
Ga 0.500 0.334 0.334

Output
- Space group: P6/mmm (191)
- Calculated volume: 181 Å³/cell
- Total magnetization: 0.0 μB per formula unit



Most favorable structure: <2>. The second most favorable one is 13.7 kJ/mol of atoms above it.



<1>
A plane-wave DFT calculation with PBE-GGA was carried out for Dy2TmGa6 after structural relaxation.

a = 4.285 Å, b = 6.919 Å, c = 7.842 Å
α = 116.18°, β = 105.85°, γ = 90.00°
Element x y z (fractional)
Ga 0.684 0.876 0.369
Ga 0.684 0.492 0.369
Ga 0.316 0.508 0.631
Ga 0.500 0.193 0.000
Ga 0.316 0.124 0.631
Ga 0.500 0.807 0.000
Tm 0.000 0.500 0.000
Dy 0.875 0.875 0.750
Dy 0.125 0.125 0.250

Output
- Space group: Immm (71)
- Calculated volume: 199 Å³/cell
- Total magnetization: 0.0 μB per formula unit



<2>
A plane-wave DFT calculation with PBE-GGA was carried out for Dy2TmGa6 after structural relaxation.

a = 3.796 Å, b = 7.460 Å, c = 7.460 Å
α = 120.00°, β = 90.00°, γ = 90.00°
Element x y z (fractional)
Ga 0.500 0.667 0.667
Ga 0.500 0.333 0.333
Ga 0.500 0.333 0.000
Ga 0.500 0.000 0.333
Ga 0.500 0.667 0.000
Ga 0.500 0.000 0.667
Tm 0.000 0.000 0.000
Dy 0.000 0.667 0.333
Dy 0.000 0.333 0.667

Output
- Space group: P6/mmm (191)
- Calculated volume: 183 Å³/cell
- Total magnetization: 0.0 μB per formula unit



Most favorable structure: <2>. The second most favorable one is 16.7 kJ/mol of atoms above it.



<1>
A plane-wave DFT calculation with PBE-GGA was carried out for Dy2YGa2 after structural relaxation.

a = 3.675 Å, b = 5.888 Å, c = 6.477 Å
α = 102.02°, β = 106.48°, γ = 90.00°
Element x y z (fractional)
Ga 0.297 0.887 0.595
Ga 0.703 0.113 0.405
Y 0.000 0.000 0.000
Dy 0.637 0.571 0.275
Dy 0.363 0.429 0.725

Output
- Space group: C2/m (12)
- Calculated volume: 131 Å³/cell
- Total magnetization: 0.0 μB per formula unit



<2>
A plane-wave DFT calculation with PBE-GGA was carried out for Dy2YGa2 after structural relaxation.

a = 4.305 Å, b = 7.681 Å, c = 7.681 Å
α = 90.00°, β = 90.00°, γ = 90.00°
Element x y z (fractional)
Ga 0.000 0.380 0.880
Ga 0.000 0.120 0.380
Ga 0.000 0.620 0.120
Ga 0.000 0.880 0.620
Y 0.000 0.000 0.000
Y 0.000 0.500 0.500
Dy 0.500 0.826 0.326
Dy 0.500 0.174 0.674
Dy 0.500 0.674 0.826
Dy 0.500 0.326 0.174

Output
- Space group: P4/mbm (127)
- Calculated volume: 254 Å³/cell
- Total magnetization: 0.0 μB per formula unit



Most favorable structure: <2>. The second most favorable one is 13.9 kJ/mol of atoms above it.